Entry 1:
Computed, not measured: a geometry-optimized BaNaI2N structure at the PBE level of DFT. Values from VASP.

Calculated values
- Symmetry: P4/mmm
- Energy: -16.1 eV/cell
- Uncorrected formation energy: -288 meV/atom

Quantum ESPRESSO input file:
```
&SYSTEM
  ibrav = 0, nat = 5, ntyp = 4
/
ATOMIC_SPECIES
Ba 137.33 Ba.upf
Na 22.99 Na.upf
I 126.90 I.upf
N 14.01 N.upf
CELL_PARAMETERS angstrom
6.008 0.000 0.000
0.000 6.008 0.000
0.000 0.000 4.715
ATOMIC_POSITIONS angstrom
Ba 0.000 0.000 0.000
Na 3.004 3.004 2.358
I 0.000 3.004 2.358
I 3.004 0.000 2.358
N 3.004 3.004 0.000
```



Entry 2:
Computed, not measured: a geometry-optimized Eu3Ni structure at the PBE level of DFT. Values from VASP.

Calculated values
- Energy relative to the elements: -0.019 eV per atom
- Symmetry: Imm2
- Energy: -36.7 eV/cell

Quantum ESPRESSO input file:
```
&SYSTEM
  ibrav = 0, nat = 4, ntyp = 2
/
ATOMIC_SPECIES
Eu 151.96 Eu.upf
Ni 58.69 Ni.upf
CELL_PARAMETERS angstrom
-1.929 5.208 3.265
1.929 -5.208 3.265
1.929 5.208 -3.265
ATOMIC_POSITIONS angstrom
Eu 0.000 0.000 0.001
Eu 1.929 3.306 0.000
Eu 0.000 1.902 3.265
Ni 1.929 0.000 2.102
```



Entry 3:
Computed, not measured: a geometry-optimized PrMgCu2 structure at the PBE level of DFT. Values from VASP.

Calculated values
- Energy relative to the elements: -0.011 eV per atom
- Symmetry: P4/mmm
- Energy: -14.6 eV/cell

Quantum ESPRESSO input file:
```
&SYSTEM
  ibrav = 0, nat = 4, ntyp = 3
/
ATOMIC_SPECIES
Pr 140.91 Pr.upf
Mg 24.30 Mg.upf
Cu 63.55 Cu.upf
CELL_PARAMETERS angstrom
4.936 0.000 0.000
0.000 4.936 0.000
0.000 0.000 3.282
ATOMIC_POSITIONS angstrom
Pr 0.000 0.000 0.000
Mg 2.468 2.468 0.000
Cu 0.000 2.468 1.641
Cu 2.468 0.000 1.641
```



Entry 4:
Computed, not measured: a geometry-optimized SbCl structure at the PBE level of DFT. Values from VASP.

Calculated values
- Symmetry: P4/nmm
- Energy: -12.5 eV/cell
- Uncorrected formation energy: -148 meV/atom

Quantum ESPRESSO input file:
```
&SYSTEM
  ibrav = 0, nat = 4, ntyp = 2
/
ATOMIC_SPECIES
Sb 121.76 Sb.upf
Cl 35.45 Cl.upf
CELL_PARAMETERS angstrom
3.708 0.000 0.000
0.000 3.708 0.000
0.000 0.000 8.430
ATOMIC_POSITIONS angstrom
Sb 0.927 0.927 0.965
Sb 2.781 2.781 7.465
Cl 0.927 0.927 5.926
Cl 2.781 2.781 2.504
```



Entry 5:
Computed, not measured: a geometry-optimized HfMn2Ni2 structure at the PBE level of DFT. Values from VASP.

Calculated values
- Energy relative to the elements: 0.086 eV per atom
- Symmetry: P4/mbm
- Energy: -78.8 eV/cell

Quantum ESPRESSO input file:
```
&SYSTEM
  ibrav = 0, nat = 10, ntyp = 3
/
ATOMIC_SPECIES
Hf 178.49 Hf.upf
Mn 54.94 Mn.upf
Ni 58.69 Ni.upf
CELL_PARAMETERS angstrom
7.013 0.000 0.000
0.000 7.013 0.000
0.000 0.000 2.622
ATOMIC_POSITIONS angstrom
Hf 0.000 0.000 0.000
Hf 3.506 3.506 0.000
Mn 0.741 2.765 0.000
Mn 2.765 6.272 0.000
Mn 4.248 0.741 0.000
Mn 6.272 4.248 0.000
Ni 1.312 4.819 1.311
Ni 2.194 1.312 1.311
Ni 4.819 5.701 1.311
Ni 5.701 2.194 1.311
```



Entry 6:
Computed, not measured: a geometry-optimized PmRhPb structure at the PBE level of DFT. Values from VASP.

Calculated values
- Energy relative to the elements: -0.491 eV per atom
- Symmetry: P-6m2
- Energy: -17.3 eV/cell

Quantum ESPRESSO input file:
```
&SYSTEM
  ibrav = 0, nat = 3, ntyp = 3
/
ATOMIC_SPECIES
Pm 145.00 Pm.upf
Rh 102.91 Rh.upf
Pb 207.20 Pb.upf
CELL_PARAMETERS angstrom
4.799 0.000 0.000
-2.399 4.156 0.000
0.000 0.000 3.556
ATOMIC_POSITIONS angstrom
Pm 0.000 0.000 0.000
Rh 0.000 2.771 1.778
Pb 2.399 1.385 1.778
```



Entry 7:
Computed, not measured: a geometry-optimized Tc2PbW structure at the PBE level of DFT. Values from VASP.

Calculated values
- Energy relative to the elements: 0.690 eV per atom
- Symmetry: Immm
- Energy: -34.6 eV/cell

Quantum ESPRESSO input file:
```
&SYSTEM
  ibrav = 0, nat = 4, ntyp = 3
/
ATOMIC_SPECIES
Tc 98.00 Tc.upf
Pb 207.20 Pb.upf
W 183.84 W.upf
CELL_PARAMETERS angstrom
-1.628 2.421 4.373
1.628 -2.421 4.373
1.628 2.421 -4.373
ATOMIC_POSITIONS angstrom
Tc 0.000 0.000 2.059
Tc 0.000 0.000 6.687
Pb 0.000 2.421 0.000
W 1.628 0.000 0.000
```



Entry 8:
Computed, not measured: a geometry-optimized CaCoTe structure at the PBE level of DFT. Values from VASP.

Calculated values
- Symmetry: F-43m
- Energy: -11.8 eV/cell
- Uncorrected formation energy: 164 meV/atom

Quantum ESPRESSO input file:
```
&SYSTEM
  ibrav = 0, nat = 3, ntyp = 3
/
ATOMIC_SPECIES
Ca 40.08 Ca.upf
Co 58.93 Co.upf
Te 127.60 Te.upf
CELL_PARAMETERS angstrom
0.000 3.488 3.488
3.488 0.000 3.488
3.488 3.488 0.000
ATOMIC_POSITIONS angstrom
Ca 0.000 0.000 0.000
Co 1.744 1.744 1.744
Te 5.232 5.232 5.232
```